Entry 1:
This record from the Alexandria database describes a relaxed structure of RbMnAgBr6. The functional is PBE.

Calculated values
Raw total energy = -0.243 Ry per atom
Space group = No. 149
Energy relative to the elements, uncorrected = -0.75 eV per atom

Cell: 7.116 7.116 7.402 Å, 90.00 90.00 120.00°
Positions (direct):
Rb 0.000 0.000 0.000
Mn 0.667 0.333 0.500
Ag 0.333 0.667 0.500
Br 0.396 0.041 0.695
Br 0.396 0.354 0.305
Br 0.646 0.041 0.305
Br 0.646 0.604 0.695
Br 0.959 0.354 0.695
Br 0.959 0.604 0.305

***

Entry 2:
This record from the Alexandria database describes a relaxed structure of Mn2ReAgBr. The functional is PBE.

Calculated values
Raw total energy = -0.399 Ry per atom
Space group = No. 123
Energy relative to the elements, uncorrected = 1.63 eV per atom

Cell: 5.059 5.059 5.095 Å, 90.00 90.00 90.00°
Positions (direct):
Mn 0.000 0.500 0.000
Mn 0.500 0.000 0.000
Re 0.000 0.000 0.500
Ag 0.000 0.000 0.000
Br 0.500 0.500 0.500

***

Entry 3:
This record from the Alexandria database describes a relaxed structure of MnAgSb2Br. The functional is PBE.

Calculated values
Raw total energy = -0.234 Ry per atom
Space group = No. 123
Energy relative to the elements, uncorrected = 1.21 eV per atom

Cell: 5.303 5.303 5.127 Å, 90.00 90.00 90.00°
Positions (direct):
Mn 0.000 0.000 0.000
Ag 0.000 0.000 0.500
Sb 0.000 0.500 0.500
Sb 0.500 0.000 0.500
Br 0.500 0.500 0.000